1.
# TbPrNdHo

A geometry-optimized TbPrNdHo structure (PBE, the Alexandria database).

Results
**D(E_F)**: 5.783 states/eV/f.u.
**Offset from the most stable computed form**: 0.00 eV/f.u.
**E_form**: 0.019 eV per atom
**Electronic total energy**: -18.680 eV/f.u.
**Space group**: I-4m2

Cell lengths 5.124, 5.128, 6.268 Å; angles 114.14, 114.13, 90.00 degrees
Fractional coordinates of all 4 atoms:
1 Tb 0.446 0.446 0.891
2 Pr 0.696 0.196 0.391
3 Nd 0.945 0.945 0.891
4 Ho 0.196 0.696 0.391

=====

2.
# Tb3Pr6NdHo2

A geometry-optimized Tb3Pr6NdHo2 structure (PBE, the Alexandria database).

Results
**D(E_F)**: 14.448 states/eV/f.u.
**E_form**: 0.012 eV per atom
**Electronic total energy**: -56.349 eV/f.u.
**Space group**: C2/m

Cell lengths 6.327, 6.327, 11.968 Å; angles 95.04, 95.04, 120.00 degrees
Fractional coordinates of all 12 atoms:
1 Tb 0.167 0.833 0.500
2 Tb 0.833 0.167 0.500
3 Tb 0.500 0.500 0.500
4 Pr 0.916 0.582 0.749
5 Pr 0.750 0.750 0.250
6 Pr 0.084 0.418 0.251
7 Pr 0.582 0.916 0.749
8 Pr 0.250 0.250 0.750
9 Pr 0.418 0.084 0.251
10 Nd 0.000 0.000 0.000
11 Ho 0.333 0.667 0.000
12 Ho 0.667 0.333 0.000

=====

3.
# TbPrNdHo

A geometry-optimized TbPrNdHo structure (PBE, the Alexandria database).

Results
**D(E_F)**: 7.636 states/eV/f.u.
**Offset from the most stable computed form**: 0.38 eV/f.u.
**E_form**: 0.114 eV per atom
**Electronic total energy**: -18.301 eV/f.u.
**Space group**: F-43m

Cell lengths 5.756, 5.756, 5.756 Å; angles 60.00, 60.00, 60.00 degrees
Fractional coordinates of all 4 atoms:
1 Pr 0.750 0.750 0.750
2 Nd 0.250 0.250 0.250
3 Tb 0.000 0.000 0.000
4 Ho 0.500 0.500 0.500